1.
Computed, not measured: a relaxed HOsIO crystal at the GGA-PBE level of DFT.

Properties
Energy relative to the lowest polymorph listed for this composition in meV/atom: 0.0
DOS at the Fermi energy in states/eV/f.u.: 0.96
ρ in g/cm3: 7.44

a = 3.709 Å, b = 5.465 Å, c = 7.360 Å
α = 90.00°, β = 90.00°, γ = 90.00°
Fractional positions:
H: 0.000 0.000 0.000
H: 0.000 0.500 0.500
Os: 0.000 0.000 0.217
Os: 0.000 0.500 0.717
I: 0.000 0.000 0.629
I: 0.000 0.500 0.129
O: 0.500 0.000 0.221
O: 0.500 0.500 0.721

***

2.
Computed, not measured: a relaxed LiHfCd2 crystal at the GGA-PBE level of DFT.

Properties
Energy relative to the lowest polymorph listed for this composition in meV/atom: 85.3
DOS at the Fermi energy in states/eV/f.u.: 3.07
ρ in g/cm3: 8.25
ΔH_f (0 K) in eV/atom: -0.023

a = 5.367 Å, b = 3.021 Å, c = 10.357 Å
α = 90.00°, β = 100.52°, γ = 90.00°
Fractional positions:
Li: 0.000 0.000 0.000
Li: 0.500 0.500 0.000
Hf: 0.325 0.500 0.498
Hf: 0.825 0.000 0.498
Cd: 0.093 0.500 0.760
Cd: 0.406 0.000 0.237
Cd: 0.593 0.000 0.760
Cd: 0.906 0.500 0.237

***

Values of raw total energy, in order: -5.4044; -3.4469, all in eV per atom.